# 1
4
Lattice="3.1454 0.0000 0.0000 0.0000 3.1454 0.0000 0.0000 0.0000 8.7373" Properties=species:S:1:pos:R:3 comment="CeY2N | Alexandria via LeMat-Bulk | GGA-PBE | optimized geometry" density_g_cm3=6.38 e_form_raw_mev_per_atom=-184 relative_energy_mev_per_atom=480.7 final_energy_ev_per_cell=-27.925 pbc="T T T"
Ce 0.0000 0.0000 0.0000
Y 1.5727 1.5727 2.9481
Y 1.5727 1.5727 5.7893
N 0.0000 0.0000 4.3687

# 2
10
Lattice="7.0670 0.0000 0.0000 0.0000 7.0670 0.0000 0.0000 0.0000 5.9629" Properties=species:S:1:pos:R:3 comment="Rb2GaGe2 | Alexandria via LeMat-Bulk | GGA-PBE | optimized geometry" formation_enthalpy_0k_ev_per_atom=0.079 density_g_cm3=4.30 relative_energy_mev_per_atom=102.1 final_energy_ev_per_cell=-27.603 pbc="T T T"
Rb 1.2790 2.2546 0.0000
Rb 2.2546 5.7881 0.0000
Rb 4.8125 1.2790 0.0000
Rb 5.7881 4.8125 0.0000
Ga 0.0000 0.0000 2.9814
Ga 3.5335 3.5335 2.9814
Ge 0.8959 4.4294 2.9814
Ge 2.6376 0.8959 2.9814
Ge 4.4294 6.1711 2.9814
Ge 6.1711 2.6376 2.9814